[1]
VASP calculation (PBE-GGA) on a relaxed TlIn2Pb3 crystal.

abc: 3.5248 12.3726 9.2965
angles: 65.57 79.07 81.81
Fractional positions:
In  0.2521  0.3748  0.1210
Pb  0.0836  0.2963  0.5366
In  0.9138  0.2089  0.9634
In  0.7479  0.6252  0.8790
Pb  0.9164  0.7037  0.4634
Pb  0.5885  0.5456  0.2774
Tl  0.4209  0.9540  0.2041
Pb  0.4115  0.4544  0.7226
In  0.0862  0.7911  0.0366
Pb  0.7507  0.1291  0.3695
Tl  0.5791  0.0460  0.7959
Pb  0.2493  0.8709  0.6305

Summary:
- V (A^3/atom) = 30.125
- crystal system = monoclinic
- symmetry = C2/m, No. 12
- energy above the most stable polymorph in this dataset (eV/atom) = 0.000
- E_form (meV/atom) = 8.8
- D(E_F) (states/eV/cell) = 5.0


[2]
VASP calculation (PBE-GGA) on a relaxed Tl6In2Pb5 crystal.

abc: 6.1189 15.7984 9.5018
angles: 90.00 90.00 62.91
Fractional positions:
Pb  0.5040  0.1380  0.0178
Tl  0.8676  0.6226  0.9905
Tl  0.8676  0.1226  0.5095
Tl  0.1567  0.0473  0.1876
Tl  0.8433  0.9527  0.8124
In  0.8093  0.4465  0.3147
Pb  0.4960  0.8620  0.9822
Pb  0.5000  0.0000  0.5000
In  0.8093  0.9465  0.1853
In  0.1907  0.0535  0.8147
In  0.1907  0.5535  0.6853
Pb  0.5000  0.5000  0.0000
Pb  0.7419  0.7693  0.6653
Pb  0.7419  0.2693  0.8347
Tl  0.1324  0.3774  0.0095
Pb  0.2581  0.2307  0.3347
Pb  0.5040  0.6380  0.4822
Tl  0.2964  0.7197  0.8141
Tl  0.2964  0.2197  0.6859
Tl  0.1324  0.8774  0.4905
Tl  0.7036  0.7803  0.3141
Tl  0.8433  0.4527  0.6876
Pb  0.4960  0.3620  0.5178
Pb  0.2581  0.7307  0.1653
Tl  0.1567  0.5473  0.3124
Tl  0.7036  0.2803  0.1859

Summary:
- V (A^3/atom) = 31.453
- crystal system = monoclinic
- symmetry = P2_1/c, No. 14
- E_form (meV/atom) = 41.3
- D(E_F) (states/eV/cell) = 10.1


[3]
VASP calculation (PBE-GGA) on a relaxed Tl2In6Pb crystal.

abc: 6.0522 14.5609 14.5609
angles: 23.75 83.50 83.50
Fractional positions:
In  0.8275  0.0685  0.8164
In  0.9102  0.0477  0.2783
In  0.0898  0.9523  0.7217
Tl  0.2142  0.4119  0.1455
In  0.5454  0.7275  0.4981
In  0.1725  0.9315  0.1836
In  0.3275  0.8164  0.0685
In  0.4546  0.2725  0.5019
Pb  0.2500  0.3645  0.6355
Tl  0.7142  0.1455  0.4119
In  0.0454  0.4981  0.7275
In  0.5898  0.7217  0.9523
Tl  0.7858  0.5881  0.8545
In  0.4102  0.2783  0.0477
In  0.6725  0.1836  0.9315
In  0.9546  0.5019  0.2725
Tl  0.2858  0.8545  0.5881
Pb  0.7500  0.6355  0.3645

Summary:
- V (A^3/atom) = 28.519
- crystal system = monoclinic
- symmetry = C2/c, No. 15
- energy above the most stable polymorph in this dataset (eV/atom) = 0.000
- E_form (meV/atom) = 15.5
- D(E_F) (states/eV/cell) = 7.4


[4]
VASP calculation (PBE-GGA) on a relaxed TlInPb2 crystal.

abc: 11.5185 11.5185 11.5185
angles: 17.66 17.66 17.66
Fractional positions:
Pb  0.4979  0.4979  0.4979
In  0.7500  0.7500  0.7500
Tl  0.2500  0.2500  0.2500
Pb  0.0021  0.0021  0.0021

Summary:
- V (A^3/atom) = 30.678
- crystal system = trigonal
- symmetry = R-3m, No. 166
- energy above the most stable polymorph in this dataset (eV/atom) = 0.004
- E_form (meV/atom) = 4.9
- D(E_F) (states/eV/cell) = 1.8


[5]
VASP calculation (PBE-GGA) on a relaxed Tl3InPb3 crystal.

abc: 5.8126 9.8827 9.8827
angles: 120.02 90.00 90.00
Fractional positions:
Tl  0.7500  0.4436  0.2228
Pb  0.2500  0.2395  0.1203
Tl  0.2500  0.5564  0.7772
Pb  0.2500  0.8806  0.7605
Tl  0.2500  0.2206  0.4436
Pb  0.7500  0.1194  0.2395
In  0.7500  0.3331  0.6669
Tl  0.2500  0.2227  0.7795
In  0.2500  0.6669  0.3331
Pb  0.7500  0.7605  0.8797
Pb  0.7500  0.1200  0.8809
Tl  0.7500  0.7794  0.5564
Pb  0.2500  0.8800  0.1191
Tl  0.7500  0.7773  0.2205

Summary:
- V (A^3/atom) = 35.111
- crystal system = monoclinic
- symmetry = P2_1/m, No. 11
- energy above the most stable polymorph in this dataset (eV/atom) = 0.077
- E_form (meV/atom) = 123.3
- D(E_F) (states/eV/cell) = 7.7


[6]
VASP calculation (PBE-GGA) on a relaxed Tl2InPb crystal.

abc: 4.3373 5.2496 5.2697
angles: 90.00 90.00 90.00
Fractional positions:
In  0.5000  0.0000  0.5000
Tl  0.0000  0.0000  0.0000
Tl  0.5000  0.5000  0.0000
Pb  0.0000  0.5000  0.5000

Summary:
- V (A^3/atom) = 29.997
- crystal system = orthorhombic
- symmetry = Pmmm, No. 47
- energy above the most stable polymorph in this dataset (eV/atom) = 0.013
- E_form (meV/atom) = 11.3
- D(E_F) (states/eV/cell) = 1.3


[7]
VASP calculation (PBE-GGA) on a relaxed Tl10In3Pb3 crystal.

abc: 6.3761 9.5715 9.5715
angles: 120.00 90.00 90.00
Fractional positions:
Tl  0.7501  0.3333  0.6667
Tl  0.7501  0.6667  0.3333
Tl  0.0000  0.0000  0.2305
Tl  0.0000  0.2305  0.0000
Pb  0.5000  0.4036  0.0000
Tl  0.0000  0.7695  0.7695
In  0.0000  0.5926  0.0000
Tl  0.2499  0.6667  0.3333
In  0.0000  0.0000  0.5926
In  0.0000  0.4074  0.4074
Tl  0.2499  0.3333  0.6667
Tl  0.5000  0.0000  0.7659
Tl  0.5000  0.2341  0.2341
Tl  0.5000  0.7659  0.0000
Pb  0.5000  0.0000  0.4036
Pb  0.5000  0.5964  0.5964

Summary:
- V (A^3/atom) = 31.617
- crystal system = hexagonal
- symmetry = P-62m, No. 189
- E_form (meV/atom) = 55.2
- D(E_F) (states/eV/cell) = 9.2


[8]
VASP calculation (PBE-GGA) on a relaxed Tl2InPb3 crystal.

abc: 6.7359 11.0958 7.4843
angles: 137.84 90.00 90.00
Fractional positions:
Tl  0.2500  0.5656  0.6624
Pb  0.5000  0.1651  0.3303
Tl  0.2500  0.9032  0.3376
Tl  0.7500  0.4344  0.3376
In  0.2500  0.2300  0.0000
Pb  0.5000  0.8349  0.6697
Tl  0.7500  0.0968  0.6624
Pb  0.0000  0.5000  0.0000
Pb  0.0000  0.1651  0.3303
Pb  0.0000  0.8349  0.6697
Pb  0.5000  0.5000  0.0000
In  0.7500  0.7700  0.0000

Summary:
- V (A^3/atom) = 31.288
- crystal system = orthorhombic
- symmetry = Cmcm, No. 63
- energy above the most stable polymorph in this dataset (eV/atom) = 0.015
- E_form (meV/atom) = 46.1
- D(E_F) (states/eV/cell) = 7.0


[9]
VASP calculation (PBE-GGA) on a relaxed TlIn5Pb2 crystal.

abc: 5.0999 6.6755 13.5312
angles: 90.00 90.00 90.00
Fractional positions:
Pb  0.5000  0.7483  0.3716
In  0.5000  0.2503  0.8758
Pb  0.5000  0.2517  0.6284
In  0.0000  0.0000  0.0000
In  0.0000  0.9980  0.2470
Tl  0.0000  0.0000  0.5000
Tl  0.0000  0.5000  0.0000
In  0.5000  0.7497  0.1242
In  0.0000  0.5020  0.7470
In  0.5000  0.2497  0.3758
Pb  0.5000  0.2483  0.1284
In  0.0000  0.0020  0.7530
In  0.0000  0.5000  0.5000
In  0.5000  0.7503  0.6242
In  0.0000  0.4980  0.2530
Pb  0.5000  0.7517  0.8716

Summary:
- V (A^3/atom) = 28.792
- crystal system = orthorhombic
- symmetry = Pbam, No. 55
- energy above the most stable polymorph in this dataset (eV/atom) = 0.000
- E_form (meV/atom) = 14.3
- D(E_F) (states/eV/cell) = 4.3


[10]
VASP calculation (PBE-GGA) on a relaxed TlInPb2 crystal.

abc: 5.9807 5.9807 5.9807
angles: 130.31 130.31 72.92
Fractional positions:
Pb  0.0000  0.0000  0.0000
Tl  0.2500  0.7500  0.5000
In  0.7500  0.2500  0.5000
Pb  0.5000  0.5000  0.0000

Summary:
- V (A^3/atom) = 30.378
- crystal system = tetragonal
- symmetry = I4/mmm, No. 139
- energy above the most stable polymorph in this dataset (eV/atom) = 0.015
- E_form (meV/atom) = 15.9
- D(E_F) (states/eV/cell) = 1.9


[11]
VASP calculation (PBE-GGA) on a relaxed Tl7In2Pb2 crystal.

abc: 5.4373 9.3125 9.3125
angles: 50.61 73.03 73.03
Fractional positions:
Tl  0.3423  0.7824  0.5331
Tl  0.1538  0.1899  0.5026
Tl  0.6577  0.4669  0.2176
In  0.3134  0.3096  0.0637
Tl  0.5000  0.9178  0.0822
In  0.6866  0.9363  0.6904
Pb  0.5000  0.3371  0.6629
Pb  0.0000  0.6205  0.3795
Tl  0.8431  0.0549  0.2588
Tl  0.1569  0.7412  0.9451
Tl  0.8462  0.4974  0.8101

Summary:
- V (A^3/atom) = 31.355
- crystal system = orthorhombic
- symmetry = Imm2, No. 44
- energy above the most stable polymorph in this dataset (eV/atom) = 0.000
- E_form (meV/atom) = 29.1
- D(E_F) (states/eV/cell) = 3.9


[12]
VASP calculation (PBE-GGA) on a relaxed Tl3In5Pb3 crystal.

abc: 3.3641 11.0881 11.0881
angles: 120.00 90.00 90.00
Fractional positions:
Tl  0.0000  0.5710  0.0000
Tl  0.0000  0.4290  0.4290
Tl  0.0000  0.0000  0.5710
In  0.5000  0.3291  0.0000
In  0.5000  0.6667  0.3333
Pb  0.5000  0.8276  0.0000
In  0.5000  0.0000  0.3291
Pb  0.5000  0.1724  0.1724
In  0.5000  0.3333  0.6667
In  0.5000  0.6709  0.6709
Pb  0.5000  0.0000  0.8276

Summary:
- V (A^3/atom) = 32.563
- crystal system = hexagonal
- symmetry = P-62m, No. 189
- E_form (meV/atom) = 152.1
- D(E_F) (states/eV/cell) = 7.1


[13]
VASP calculation (PBE-GGA) on a relaxed TlIn2Pb10 crystal.

abc: 6.4591 8.7739 8.6726
angles: 82.12 68.14 68.40
Fractional positions:
In  0.5000  0.5000  0.0000
Pb  0.9963  0.3564  0.6511
In  0.0000  0.5000  0.0000
Pb  0.0037  0.6436  0.3489
Pb  0.7147  0.7820  0.7886
Pb  0.3526  0.6436  0.6511
Pb  0.4967  0.2180  0.7886
Pb  0.2853  0.2180  0.2114
Pb  0.5033  0.7820  0.2114
Pb  0.5000  0.0000  0.5000
Pb  0.6474  0.3564  0.3489
Tl  0.0000  0.0000  0.0000
Pb  0.0000  0.0000  0.5000

Summary:
- V (A^3/atom) = 32.624
- crystal system = orthorhombic
- symmetry = Fmmm, No. 69
- E_form (meV/atom) = 64.1
- D(E_F) (states/eV/cell) = 6.9


[14]
VASP calculation (PBE-GGA) on a relaxed Tl5In6Pb crystal.

abc: 4.4144 10.6302 9.4305
angles: 124.56 104.05 89.11
Fractional positions:
Tl  0.0000  0.5000  0.0000
In  0.5011  0.7548  0.0000
Pb  0.0000  0.0000  0.0000
In  0.1658  0.4129  0.3315
Tl  0.3311  0.8311  0.6622
In  0.4989  0.2452  0.0000
In  0.8343  0.0814  0.6685
In  0.1657  0.9186  0.3315
In  0.8342  0.5871  0.6685
Tl  0.6689  0.1689  0.3378
Tl  0.3351  0.3351  0.6703
Tl  0.6649  0.6649  0.3297

Summary:
- V (A^3/atom) = 29.116
- crystal system = monoclinic
- symmetry = C2/m, No. 12
- E_form (meV/atom) = 23.6
- D(E_F) (states/eV/cell) = 4.6


[15]
VASP calculation (PBE-GGA) on a relaxed Tl5In3Pb crystal.

abc: 7.3594 9.0447 10.4565
angles: 107.09 90.00 114.01
Fractional positions:
Tl  0.4157  0.3363  0.0807
In  0.6525  0.3301  0.3345
Tl  0.0860  0.6668  0.9099
Pb  0.2413  0.0000  0.2500
Tl  0.5808  0.6668  0.4099
Tl  0.9140  0.3332  0.0901
In  0.3224  0.6699  0.1655
Tl  0.2546  0.0000  0.7500
Tl  0.4192  0.3332  0.5901
In  0.3475  0.6699  0.6655
Tl  0.9206  0.3363  0.5807
Tl  0.5843  0.6637  0.9193
Pb  0.7587  0.0000  0.7500
Tl  0.0794  0.6637  0.4193
Tl  0.7454  0.0000  0.2500
In  0.0000  0.0000  0.5000
In  0.6776  0.3301  0.8345
In  0.0000  0.0000  0.0000

Summary:
- V (A^3/atom) = 33.444
- crystal system = monoclinic
- symmetry = C2/c, No. 15
- E_form (meV/atom) = 94.6
- D(E_F) (states/eV/cell) = 11.7


[16]
VASP calculation (PBE-GGA) on a relaxed TlIn3Pb2 crystal.

abc: 4.9053 4.9053 15.5467
angles: 99.51 99.51 87.26
Fractional positions:
In  0.3208  0.3208  0.1588
In  0.8380  0.8380  0.1588
Pb  0.2500  0.7500  0.5000
Pb  0.7474  0.2526  0.0000
Pb  0.7500  0.2500  0.5000
Tl  0.3330  0.3330  0.6660
Pb  0.2526  0.7474  0.0000
In  0.1703  0.1703  0.3406
In  0.8297  0.8297  0.6594
Tl  0.6670  0.6670  0.3340
In  0.1620  0.1620  0.8412
In  0.6792  0.6792  0.8412

Summary:
- V (A^3/atom) = 30.315
- crystal system = orthorhombic
- symmetry = Fmmm, No. 69
- energy above the most stable polymorph in this dataset (eV/atom) = 0.000
- E_form (meV/atom) = 40.2
- D(E_F) (states/eV/cell) = 7.4


[17]
VASP calculation (PBE-GGA) on a relaxed TlInPb2 crystal.

abc: 3.3664 3.3664 11.8280
angles: 90.00 90.00 114.30
Fractional positions:
Tl  0.5000  0.5000  0.2500
In  0.5000  0.5000  0.7500
Pb  0.0000  0.0000  0.9937
Pb  0.0000  0.0000  0.5063

Summary:
- V (A^3/atom) = 30.541
- crystal system = orthorhombic
- symmetry = Cmmm, No. 65
- energy above the most stable polymorph in this dataset (eV/atom) = 0.030
- E_form (meV/atom) = 31.0
- D(E_F) (states/eV/cell) = 1.6


[18]
VASP calculation (PBE-GGA) on a relaxed TlIn2Pb crystal.

abc: 5.4998 5.4998 5.4998
angles: 60.00 60.00 60.00
Fractional positions:
In  0.2500  0.2500  0.2500
Pb  0.5000  0.5000  0.5000
In  0.0000  0.0000  0.0000
Tl  0.7500  0.7500  0.7500

Summary:
- V (A^3/atom) = 29.407
- crystal system = cubic
- symmetry = F-43m, No. 216
- energy above the most stable polymorph in this dataset (eV/atom) = 0.034
- E_form (meV/atom) = 30.1
- D(E_F) (states/eV/cell) = 2.0


[19]
VASP calculation (PBE-GGA) on a relaxed Tl4In4Pb5 crystal.

abc: 4.8592 9.3062 9.3062
angles: 86.09 74.87 74.87
Fractional positions:
Tl  0.6166  0.3032  0.4636
In  0.7691  0.3845  0.0773
Tl  0.3834  0.6968  0.5364
Pb  0.6908  0.8529  0.7656
Tl  0.0802  0.5364  0.3032
Pb  0.3092  0.1471  0.2344
In  0.2309  0.6155  0.9227
Pb  0.0000  0.0000  0.0000
Tl  0.9198  0.4636  0.6968
Pb  0.4564  0.2344  0.8529
Pb  0.5436  0.7656  0.1471
In  0.8464  0.9227  0.3845
In  0.1536  0.0773  0.6155

Summary:
- V (A^3/atom) = 30.165
- crystal system = tetragonal
- symmetry = I4/m, No. 87
- E_form (meV/atom) = 7.1
- D(E_F) (states/eV/cell) = 4.6


[20]
VASP calculation (PBE-GGA) on a relaxed Tl6InPb12 crystal.

abc: 9.2978 9.2978 9.2978
angles: 110.45 110.45 110.45
Fractional positions:
In  0.0000  0.0000  0.0000
Pb  0.5296  0.6884  0.7887
Tl  0.4179  0.9424  0.6255
Pb  0.7887  0.5296  0.6884
Pb  0.3116  0.2112  0.4704
Tl  0.3745  0.5821  0.0576
Pb  0.1013  0.7401  0.1504
Tl  0.6255  0.4179  0.9424
Tl  0.9424  0.6255  0.4179
Pb  0.8496  0.8987  0.2599
Pb  0.2112  0.4704  0.3116
Pb  0.7401  0.1504  0.1013
Pb  0.4704  0.3116  0.2112
Pb  0.1504  0.1013  0.7401
Pb  0.8987  0.2599  0.8496
Pb  0.6884  0.7887  0.5296
Tl  0.5821  0.0576  0.3745
Tl  0.0576  0.3745  0.5821
Pb  0.2599  0.8496  0.8987

Summary:
- V (A^3/atom) = 31.326
- crystal system = trigonal
- symmetry = R-3, No. 148
- E_form (meV/atom) = -0.6
- D(E_F) (states/eV/cell) = 10.3


Magnetization for the records above, in order: 0.00 0.00 0.00 0.00 0.00 0.00 0.00 0.00 0.00 0.00 0.00 0.00 0.00 0.00 0.00 0.00 0.00 0.00 0.00 0.00 μB/atom